No. 1
BeOs2W, relaxed, DFT PBE; crystal system = trigonal; density = 17.45 g cm⁻³; V = 54.6 Å³/f.u.; DOS(E_F) = 2.945 states/eV/cell; DFT total energy = -9.663 eV per atom; total magnetization = 0.0 μB/f.u.
1.0
-1.5018 -8.2228 -0.4650
0.1253 -7.9283 -2.6858
1.2518 -8.2757 -0.1804
Os W Be
2 1 1
Direct
0.4929 0.4929 0.4929
0.0071 0.0071 0.0071
0.2500 0.2500 0.2500
0.7500 0.7500 0.7500

No. 2
BeOs3W, relaxed, DFT PBE; crystal system = cubic; density = 18.49 g cm⁻³; V = 68.6 Å³/f.u.; DOS(E_F) = 1.861 states/eV/cell; total magnetization = 0.0 μB/f.u.; energy above the lowest structure with this stoichiometry = 0.00 eV/f.u.
1.0
4.0933 0.0000 0.0000
0.0000 4.0933 0.0000
0.0000 0.0000 4.0933
W Be Os
1 1 3
Direct
0.5000 0.5000 0.5000
0.0000 0.0000 0.0000
0.0000 0.0000 0.5000
0.5000 0.0000 0.0000
0.0000 0.5000 0.0000